(1)
11
Lattice="-4.0317 4.0317 4.0317 4.0317 -4.0317 4.0317 4.0317 4.0317 -4.0317" Properties=species:S:1:pos:R:3 comment="Ac4Te3H4, relaxed, DFT PBE" spacegroup="No. 217" total_energy_ev_per_atom=-4.551 n_ef_per_ev_cell=6.18 magnetic_moment_mub_per_cell=0.002 density_g_cm3=8.2 pbc="T T T"
Ac 2.4774 2.4774 -2.4774
Ac 2.4774 -2.4774 2.4774
Ac 1.5543 1.5543 1.5543
Ac -2.4774 2.4774 2.4774
Te 4.0317 0.0000 0.0000
Te 0.0000 4.0317 0.0000
Te 0.0000 0.0000 4.0317
H 0.9888 0.9888 -0.9888
H 0.9888 -0.9888 0.9888
H -0.9888 0.9888 0.9888
H 3.0429 3.0429 3.0429

---

(2)
7
Lattice="4.4491 0.0000 0.0000 0.0030 4.9115 0.0000 2.2152 2.4524 9.0878" Properties=species:S:1:pos:R:3 comment="Ac3Te2H2, relaxed, DFT PBE" spacegroup="No. 2" total_energy_ev_per_atom=-4.617 n_ef_per_ev_cell=4.22 magnetic_moment_mub_per_cell=0.000 density_g_cm3=7.8 pbc="T T T"
Ac 0.0000 0.0000 0.0000
Ac 2.2244 2.4560 2.3816
Ac 4.4429 4.9078 6.7062
Te 2.2181 2.4518 5.8274
Te 4.4492 4.9120 3.2604
H 4.4385 3.7088 9.0873
H 2.2288 3.6550 0.0005

---

(3)
4
Lattice="2.1962 1.2680 4.6331 -2.1962 1.2680 4.6331 0.0000 -2.5360 4.6331" Properties=species:S:1:pos:R:3 comment="AcTeH2, relaxed, DFT PBE" spacegroup="No. 166" n_ef_per_ev_cell=1.64 magnetic_moment_mub_per_cell=0.000 relative_energy_mev_per_atom=81.8 density_g_cm3=7.6 pbc="T T T"
Ac 0.0000 0.0000 0.0000
Te 0.0000 0.0000 6.9497
H 0.0000 0.0000 4.3818
H 0.0000 0.0000 9.5176